# YCdOs2 (PBE-GGA, relaxed)
# Density of states at the Fermi level, states/eV/f.u.: 4.8
# SG: R3m (160)
# Total moment, μB/atom: 0.1422
# V, Å³ per atom: 18.519
# DFT total energy, eV/cell: -27.9
data_YCdOs2
_chemical_formula_sum 'Y1 Cd1 Os2'
_cell_length_a 10.134
_cell_length_b 10.134
_cell_length_c 10.134
_cell_angle_alpha 16.60
_cell_angle_beta 16.60
_cell_angle_gamma 16.60
_space_group_name_H-M_alt 'P 1'
_space_group_IT_number 1
loop_
_space_group_symop_operation_xyz
'x,y,z'
loop_
_atom_site_label
_atom_site_fract_x
_atom_site_fract_y
_atom_site_fract_z
Cd1 0.741 0.741 0.741
Os1 0.992 0.992 0.992
Os2 0.260 0.260 0.260
Y1 0.506 0.506 0.506



# Y2CdOs (PBE-GGA, relaxed)
# Density of states at the Fermi level, states/eV/f.u.: 2.9
# SG: P4mm (99)
# Total moment, μB/atom: 0.0469
# V, Å³ per atom: 24.338
# DFT total energy, eV/cell: -24.5
data_Y2CdOs
_chemical_formula_sum 'Y2 Cd1 Os1'
_cell_length_a 3.426
_cell_length_b 3.426
_cell_length_c 8.296
_cell_angle_alpha 90.00
_cell_angle_beta 90.00
_cell_angle_gamma 90.00
_space_group_name_H-M_alt 'P 1'
_space_group_IT_number 1
loop_
_space_group_symop_operation_xyz
'x,y,z'
loop_
_atom_site_label
_atom_site_fract_x
_atom_site_fract_y
_atom_site_fract_z
Os1 0.500 0.500 0.735
Cd1 0.000 0.000 0.546
Y1 0.500 0.500 0.293
Y2 0.000 0.000 0.926